Record 1
A plane-wave DFT calculation with GGA-PBE was carried out for Dy4Te2AsPb after structural relaxation.

Calculated total energy: -5.331 eV/atom
Volume: 230 Å³/cell
Raw formation energy: -1.200 eV per atom
DOS at the Fermi energy: 1.60 states/eV/cell

a b c (Å): 7.4961 4.3167 7.5251
angles (deg): 90.00 109.25 90.00
Element x y z (fractional)
Dy 0.2331 0.0000 0.2256
Dy 0.2460 0.5000 0.7663
Dy 0.7540 0.5000 0.2337
Dy 0.7669 0.0000 0.7744
Te 0.0000 0.0000 0.5000
Te 0.5000 0.5000 0.5000
As 0.0000 0.5000 0.0000
Pb 0.5000 0.0000 0.0000

***

Record 2
A plane-wave DFT calculation with GGA-PBE was carried out for Tb2MnOs after structural relaxation.

Calculated total energy: -6.820 eV/atom
Volume: 93 Å³/cell
DOS at the Fermi energy: 3.05 states/eV/cell

a b c (Å): 10.3175 10.3175 10.3175
angles (deg): 18.19 18.19 18.19
Element x y z (fractional)
Tb 0.0969 0.0969 0.0969
Tb 0.9031 0.9031 0.9031
Mn 0.0000 0.0000 0.0000
Os 0.5000 0.5000 0.5000

***

Record 3
A plane-wave DFT calculation with GGA-PBE was carried out for Pm2NdHo3Bi6 after structural relaxation.

Calculated total energy: -5.162 eV/atom
Volume: 393 Å³/cell
DOS at the Fermi energy: 2.02 states/eV/cell

a b c (Å): 10.1128 10.1128 9.0465
angles (deg): 102.78 102.78 25.87
Element x y z (fractional)
Pm 0.1668 0.1668 0.3332
Pm 0.8332 0.8332 0.6668
Nd 0.5000 0.5000 0.0000
Ho 0.1664 0.1664 0.8329
Ho 0.5000 0.5000 0.5000
Ho 0.8336 0.8336 0.1671
Bi 0.0016 0.0016 0.7441
Bi 0.3310 0.3310 0.9211
Bi 0.3351 0.3351 0.4125
Bi 0.6649 0.6649 0.5875
Bi 0.6690 0.6690 0.0789
Bi 0.9984 0.9984 0.2559

***

Record 4
A plane-wave DFT calculation with GGA-PBE was carried out for CaMg3Cu after structural relaxation.

Calculated total energy: -2.214 eV/atom
Energy above the most stable polymorph in this dataset: 0.069 eV/atom
Volume: 121 Å³/cell
DOS at the Fermi energy: 2.39 states/eV/cell

a b c (Å): 7.1910 7.1910 7.1910
angles (deg): 145.11 145.11 50.17
Element x y z (fractional)
Ca 0.0000 0.0000 0.0000
Mg 0.2878 0.7878 0.5000
Mg 0.6179 0.6179 0.0000
Mg 0.7878 0.2878 0.5000
Cu 0.4167 0.4167 0.0000

***

Record 5
A plane-wave DFT calculation with GGA-PBE was carried out for La2SmY2 after structural relaxation.

Calculated total energy: -5.279 eV/atom
Energy above the most stable polymorph in this dataset: 0.000 eV/atom
Volume: 357 Å³/cell
DOS at the Fermi energy: 17.44 states/eV/cell

a b c (Å): 6.5371 6.5371 8.8329
angles (deg): 102.39 102.39 94.79
Element x y z (fractional)
La 0.0000 0.0000 0.0000
La 0.0000 0.0000 0.5000
La 0.0000 0.5000 0.0000
La 0.5000 0.0000 0.5000
Sm 0.2995 0.7005 0.7500
Sm 0.7005 0.2995 0.2500
Y 0.2518 0.4424 0.3681
Y 0.4424 0.2518 0.8681
Y 0.5576 0.7482 0.1319
Y 0.7482 0.5576 0.6319

***

Record 6
A plane-wave DFT calculation with GGA-PBE was carried out for CaMg2Cl after structural relaxation.

Calculated total energy: -2.318 eV/atom
Energy above the most stable polymorph in this dataset: 0.123 eV/atom
Volume: 105 Å³/cell
Raw formation energy: -0.559 eV per atom
DOS at the Fermi energy: 2.15 states/eV/cell

a b c (Å): 6.7795 6.7795 4.9597
angles (deg): 111.27 111.27 29.74
Element x y z (fractional)
Ca 0.0000 0.0000 0.0000
Mg 0.2436 0.2436 0.7440
Mg 0.7564 0.7564 0.2560
Cl 0.5000 0.5000 0.5000

***

Record 7
A plane-wave DFT calculation with GGA-PBE was carried out for CeSm4Y3 after structural relaxation.

Calculated total energy: -5.332 eV/atom
Volume: 267 Å³/cell
DOS at the Fermi energy: 16.50 states/eV/cell

a b c (Å): 11.9436 11.9436 6.8553
angles (deg): 106.53 106.53 16.58
Element x y z (fractional)
Ce 0.0000 0.0000 0.0000
Sm 0.2415 0.2415 0.2399
Sm 0.3766 0.3766 0.6350
Sm 0.6234 0.6234 0.3650
Sm 0.7585 0.7585 0.7601
Y 0.3761 0.3761 0.1176
Y 0.5000 0.5000 0.5000
Y 0.6239 0.6239 0.8824